Entry 1:
# NaNbZn PBE relaxed
data_NaNbZn
_cell_length_a 2.7355
_cell_length_b 4.3927
_cell_length_c 10.2471
_cell_angle_alpha 90.00
_cell_angle_beta 97.29
_cell_angle_gamma 90.00
_space_group_name_H-M_alt 'P 1 m 1'
_space_group_IT_number 6
_space_group_name_Hall 'P -2y'
loop_
_atom_site_label
_atom_site_type_symbol
_atom_site_fract_x
_atom_site_fract_y
_atom_site_fract_z
Na1 Na 0.0000 0.0000 0.0000
Na2 Na 0.3683 0.5000 0.7801
Nb1 Nb 0.1656 0.0000 0.3543
Nb2 Nb 0.5979 0.5000 0.2039
Zn1 Zn 0.7223 0.5000 0.4777
Zn2 Zn 0.7855 0.0000 0.6139
# **DOS(E_F)**: 1.834 states/eV/f.u.
# **Polymorph energy (0 for the lowest one)**: 160.2 meV per atom
# **Formation energy from the elements**: 75 kJ/mol of formula units
# **Volume**: 20.36 Å³ per atom

=====

Entry 2:
# PmDy3Ho4 PBE relaxed
data_PmDy3Ho4
_cell_length_a 11.2504
_cell_length_b 7.2582
_cell_length_c 6.2725
_cell_angle_alpha 90.00
_cell_angle_beta 90.00
_cell_angle_gamma 90.00
_space_group_name_H-M_alt 'P m n 21'
_space_group_IT_number 31
_space_group_name_Hall 'P 2ac -2'
loop_
_atom_site_label
_atom_site_type_symbol
_atom_site_fract_x
_atom_site_fract_y
_atom_site_fract_z
Pm1 Pm 0.0000 0.1261 0.0000
Dy1 Dy 0.0000 0.8740 0.4991
Dy2 Dy 0.2503 0.1263 0.3331
Ho1 Ho 0.0000 0.3760 0.5008
Ho2 Ho 0.0000 0.6237 0.9993
Ho3 Ho 0.2485 0.6237 0.3329
# **DOS(E_F)**: 13.239 states/eV/f.u.
# **Polymorph energy (0 for the lowest one)**: 0.0 meV per atom
# **Formation energy from the elements**: 7 kJ/mol of formula units
# **Volume**: 32.01 Å³ per atom

=====

Entry 3:
# RbPH PBE relaxed
data_RbPH
_cell_length_a 5.4360
_cell_length_b 5.9224
_cell_length_c 5.9811
_cell_angle_alpha 104.00
_cell_angle_beta 110.08
_cell_angle_gamma 109.95
_space_group_name_H-M_alt 'P 1'
_space_group_IT_number 1
_space_group_name_Hall 'P 1'
loop_
_atom_site_label
_atom_site_type_symbol
_atom_site_fract_x
_atom_site_fract_y
_atom_site_fract_z
Rb1 Rb 0.0000 0.0000 0.0000
Rb2 Rb 0.0352 0.6127 0.4404
P1 P 0.6090 0.2742 0.6562
P2 P 0.6273 0.9784 0.3750
H1 H 0.2990 0.2172 0.5703
H2 H 0.5960 0.1927 0.8672
# **Polymorph energy (0 for the lowest one)**: 98.3 meV per atom
# **Volume**: 25.88 Å³ per atom

=====

Entry 4:
# Nd6SnOs2 PBE relaxed
data_Nd6SnOs2
_cell_length_a 9.8011
_cell_length_b 9.9367
_cell_length_c 10.6755
_cell_angle_alpha 90.00
_cell_angle_beta 90.00
_cell_angle_gamma 90.00
_space_group_name_H-M_alt 'I m m m'
_space_group_IT_number 71
_space_group_name_Hall '-I 2 2'
loop_
_atom_site_label
_atom_site_type_symbol
_atom_site_fract_x
_atom_site_fract_y
_atom_site_fract_z
Nd1 Nd 0.0000 0.2059 0.2402
Nd2 Nd 0.1854 0.5000 0.1705
Nd3 Nd 0.2188 0.3154 0.5000
Sn1 Sn 0.0000 0.0000 0.0000
Sn2 Sn 0.0000 0.0000 0.5000
Os1 Os 0.0000 0.3276 0.0000
Os2 Os 0.0000 0.5000 0.3827
# **DOS(E_F)**: 8.168 states/eV/f.u.
# **Formation energy from the elements**: -226 kJ/mol of formula units
# **Volume**: 28.88 Å³ per atom

=====

Entry 5:
# Ca3NpPa2As6 PBE relaxed
data_Ca3NpPa2As6
_cell_length_a 7.2458
_cell_length_b 12.5468
_cell_length_c 7.2564
_cell_angle_alpha 90.00
_cell_angle_beta 109.44
_cell_angle_gamma 90.00
_space_group_name_H-M_alt 'C 1 2/m 1'
_space_group_IT_number 12
_space_group_name_Hall '-C 2y'
loop_
_atom_site_label
_atom_site_type_symbol
_atom_site_fract_x
_atom_site_fract_y
_atom_site_fract_z
Ca1 Ca 0.0000 0.0000 0.0000
Ca2 Ca 0.0000 0.3342 0.0000
Np1 Np 0.0000 0.5000 0.5000
Pa1 Pa 0.0000 0.1668 0.5000
As1 As 0.2391 0.0000 0.7333
As2 As 0.2470 0.3308 0.7330
# **DOS(E_F)**: 11.222 states/eV/f.u.
# **Formation energy from the elements**: -1263 kJ/mol of formula units
# **Volume**: 25.92 Å³ per atom

=====

Entry 6:
# TaBiI2 PBE relaxed
data_TaBiI2
_cell_length_a 10.0838
_cell_length_b 10.0838
_cell_length_c 5.6090
_cell_angle_alpha 90.00
_cell_angle_beta 90.00
_cell_angle_gamma 90.00
_space_group_name_H-M_alt 'I -4 2 d'
_space_group_IT_number 122
_space_group_name_Hall 'I -4 2bw'
loop_
_atom_site_label
_atom_site_type_symbol
_atom_site_fract_x
_atom_site_fract_y
_atom_site_fract_z
Ta1 Ta 0.0000 0.0000 0.0000
Bi1 Bi 0.0000 0.0000 0.5000
I1 I 0.1122 0.7500 0.1250
# **DOS(E_F)**: 5.703 states/eV/f.u.
# **Polymorph energy (0 for the lowest one)**: 0.0 meV per atom
# **Raw formation energy**: 0.35 eV/atom
# **Volume**: 35.65 Å³ per atom

=====

Entry 7:
# DyHo3Se6 PBE relaxed
data_DyHo3Se6
_cell_length_a 11.9287
_cell_length_b 11.9287
_cell_length_c 14.2715
_cell_angle_alpha 90.00
_cell_angle_beta 90.00
_cell_angle_gamma 120.00
_space_group_name_H-M_alt 'R -3'
_space_group_IT_number 148
_space_group_name_Hall '-R 3'
loop_
_atom_site_label
_atom_site_type_symbol
_atom_site_fract_x
_atom_site_fract_y
_atom_site_fract_z
Dy1 Dy 0.0000 0.0000 0.0000
Dy2 Dy 0.0000 0.0000 0.5000
Ho1 Ho 0.0528 0.2718 0.2017
Se1 Se 0.0184 0.2125 0.3961
Se2 Se 0.0323 0.1951 0.8743
# **DOS(E_F)**: 0.000 states/eV/f.u.
# **Polymorph energy (0 for the lowest one)**: 25.1 meV per atom
# **Raw formation energy**: -1.84 eV/atom
# **Volume**: 29.31 Å³ per atom

=====

Entry 8:
# TiSn4Pd15 PBE relaxed
data_TiSn4Pd15
_cell_length_a 4.0160
_cell_length_b 4.0160
_cell_length_c 20.1088
_cell_angle_alpha 90.00
_cell_angle_beta 90.00
_cell_angle_gamma 90.00
_space_group_name_H-M_alt 'P 4/m m m'
_space_group_IT_number 123
_space_group_name_Hall '-P 4 2'
loop_
_atom_site_label
_atom_site_type_symbol
_atom_site_fract_x
_atom_site_fract_y
_atom_site_fract_z
Ti1 Ti 0.0000 0.0000 0.0000
Sn1 Sn 0.0000 0.0000 0.1975
Sn2 Sn 0.0000 0.0000 0.3994
Pd1 Pd 0.0000 0.5000 0.0941
Pd2 Pd 0.0000 0.5000 0.2975
Pd3 Pd 0.0000 0.5000 0.5000
Pd4 Pd 0.5000 0.5000 0.0000
Pd5 Pd 0.5000 0.5000 0.1961
Pd6 Pd 0.5000 0.5000 0.3984
# **DOS(E_F)**: 3.946 states/eV/f.u.
# **Formation energy from the elements**: -1032 kJ/mol of formula units
# **Volume**: 16.22 Å³ per atom